The following is a DFT calculation (GGA-PBEsol) of a relaxed Re2Os crystal.

CIF file:
```
data_Re2Os
_symmetry_space_group_name_H-M 'P 6/m m m'
_symmetry_Int_Tables_number 191
_symmetry_space_group_name_Hall '-P 6 2'
_cell_length_a 4.3315
_cell_length_b 4.3315
_cell_length_c 2.6998
_cell_angle_alpha 90.00
_cell_angle_beta 90.00
_cell_angle_gamma 120.00
loop_
_atom_site_label
_atom_site_fract_x
_atom_site_fract_y
_atom_site_fract_z
_atom_site_occupancy
Re1 0.3333 0.6667 0.0000 1
Os1 0.0000 0.0000 0.5000 1
```

- E_tot: -38.315 eV/cell
- V: 44 Å³/cell
- Offset from the most stable computed form: 0.79 eV/f.u.
- Energy relative to the elements: 0.188 eV/atom